Density functional theory data (SCAN) for a crystal of NaCa3RuO6 relaxed with PBEsol.

```
22
Lattice="4.576 2.642 3.713 -4.576 2.642 3.713 0.000 -5.284 3.713" Properties=species:S:1:pos:R:3 pbc="T T T"
Na 0.000 0.000 2.785
Na 0.000 0.000 8.355
Ca -2.943 0.186 4.641
Ca -1.633 -2.456 6.498
Ca 1.310 -2.642 4.641
Ca -1.310 2.642 6.498
Ca 1.633 2.456 4.641
Ca 2.943 -0.186 6.498
Ru 0.000 0.000 0.000
Ru 0.000 0.000 5.570
O -3.989 -1.141 6.313
O -1.007 -4.024 4.827
O -1.007 -1.260 4.456
O -2.982 2.884 4.827
O -0.588 1.501 4.456
O -1.594 0.242 6.684
O 1.594 -0.242 4.456
O 0.588 -1.501 6.684
O 2.982 -2.884 6.313
O 1.007 1.260 6.684
O 1.007 4.024 6.313
O 3.989 1.141 4.827
```

Summary:
formation energy (no corrections)	-2.48	eV per atom